The following is a DFT calculation (PBE) of a geometry-optimized La5Te5O2 structure.

a = 7.5317 Å, b = 7.5317 Å, c = 11.4591 Å
α = 99.87°, β = 99.87°, γ = 32.40°
Atoms (fractional coordinates):
La (0.0000, 0.0000, 0.0000)
La (0.0990, 0.0990, 0.3411)
La (0.3576, 0.3576, 0.2122)
La (0.6424, 0.6424, 0.7878)
La (0.9010, 0.9010, 0.6589)
Te (0.2241, 0.2241, 0.6163)
Te (0.3346, 0.3346, 0.9100)
Te (0.5000, 0.5000, 0.5000)
Te (0.6654, 0.6654, 0.0900)
Te (0.7759, 0.7759, 0.3837)
O (0.0425, 0.0425, 0.8049)
O (0.9575, 0.9575, 0.1951)

Computed properties:
**Calculated volume**: 28.6 A^3/atom
**Space group**: C2/m, No. 12
**Total magnetization**: 0.0 μB per cell
**ΔE_f (raw)**: -2.041 eV/atom